## CaLaPrTh (PBE-GGA)

Data for crystalline CaLaPrTh at its relaxed geometry.

Unit cell a=3.689 b=3.689 c=10.771 alpha=90.00 beta=90.00 gamma=90.00
Atoms (fractional coordinates):
1 Pr 0.500 0.500 0.345
2 La 0.500 0.500 0.795
3 Th 0.000 0.000 0.571
4 Ca 0.000 0.000 0.074

Summary:
Formation energy (eV/f.u.): 0.11
Space group: P4mm, No. 99
M_tot (Bohr magnetons per cell): 0.000
DOS(E_F) (states/eV per cell): 5.5
Relative energy among the computed polymorphs (eV per formula unit): 0.000

---

## CaLa2PrTl4 (PBE-GGA)

Data for crystalline CaLa2PrTl4 at its relaxed geometry.

Unit cell a=5.568 b=5.568 c=9.749 alpha=73.41 beta=73.41 gamma=60.00
Atoms (fractional coordinates):
1 Pr 0.000 0.000 0.000
2 Tl 0.876 0.876 0.371
3 Tl 0.124 0.124 0.629
4 Tl 0.626 0.626 0.122
5 Tl 0.374 0.374 0.878
6 La 0.245 0.245 0.264
7 La 0.755 0.755 0.736
8 Ca 0.500 0.500 0.500

Summary:
Formation energy (eV/f.u.): -3.43
Space group: R-3m, No. 166
M_tot (Bohr magnetons per cell): 0.000
DOS(E_F) (states/eV per cell): 5.6